Density functional theory data (PBE-GGA) for a relaxed Rb2MgCdF6 crystal.

a b c (Å): 6.0747 6.0747 6.0748
angles (deg): 60.00 60.00 90.00
Fractional positions:
Mg (0.5000, 0.5000, 0.0000)
F (0.2633, 0.2633, 0.4735)
F (0.7367, 0.7367, 0.5265)
F (0.2632, 0.2632, 0.0000)
F (0.7368, 0.7368, 0.0000)
F (0.7368, 0.2632, 0.0000)
F (0.2632, 0.7368, 0.0000)
Rb (0.7500, 0.2500, 0.5000)
Rb (0.2500, 0.7500, 0.5000)
Cd (0.0000, 0.0000, 0.0000)

Raw formation energy: -2.865 eV/atom
SG: Fm-3m

=====

Density functional theory data (PBE-GGA) for a relaxed TiSbI2F crystal.

a b c (Å): 5.3254 5.3254 5.3756
angles (deg): 90.00 90.00 90.00
Fractional positions:
I (0.0000, 0.5000, 0.0000)
I (0.5000, 0.0000, 0.0000)
Sb (0.0000, 0.0000, 0.5000)
F (0.5000, 0.5000, 0.5000)
Ti (0.0000, 0.0000, 0.0000)

Raw formation energy: -0.292 eV/atom
SG: P4/mmm

=====

Density functional theory data (PBE-GGA) for a relaxed Tb5PrDy5 crystal.

a b c (Å): 6.0995 6.0995 11.5162
angles (deg): 90.00 90.00 120.00
Fractional positions:
Tb (0.3364, 0.1682, 0.5000)
Tb (0.0000, 0.0000, 0.2646)
Tb (0.8318, 0.6636, 0.5000)
Tb (0.8318, 0.1682, 0.5000)
Tb (0.0000, 0.0000, 0.7354)
Pr (0.3333, 0.6667, 0.0000)
Dy (0.6667, 0.3333, 0.1596)
Dy (0.6667, 0.3333, 0.8404)
Dy (0.3333, 0.6667, 0.3280)
Dy (0.3333, 0.6667, 0.6720)
Dy (0.0000, 0.0000, 0.0000)

Calculated formation energy: 0.317 eV per atom
SG: P-6m2

=====

Density functional theory data (PBE-GGA) for a relaxed BaCuTc3 crystal.

a b c (Å): 4.9771 4.9771 4.9771
angles (deg): 90.00 90.00 90.00
Fractional positions:
Ba (0.0000, 0.0000, 0.0000)
Cu (0.5000, 0.5000, 0.5000)
Tc (0.0000, 0.5000, 0.0000)
Tc (0.0000, 0.0000, 0.5000)
Tc (0.5000, 0.0000, 0.0000)

Calculated formation energy: 3.116 eV per atom
SG: Pm-3m

=====

Density functional theory data (PBE-GGA) for a relaxed HgIrRu2 crystal.

a b c (Å): 4.7905 4.7905 4.9952
angles (deg): 80.63 80.63 34.06
Fractional positions:
Hg (0.7500, 0.7500, 0.7500)
Ir (0.2500, 0.2500, 0.2500)
Ru (0.9899, 0.9899, 0.0321)
Ru (0.5101, 0.5101, 0.4679)

Calculated formation energy: 0.449 eV per atom
SG: C2/m

=====

Density functional theory data (PBE-GGA) for a relaxed NbBAsSe2 crystal.

a b c (Å): 4.4420 4.4420 4.3101
angles (deg): 90.00 90.00 90.00
Fractional positions:
Nb (0.5000, 0.5000, 0.5000)
B (0.0000, 0.0000, 0.0000)
As (0.0000, 0.0000, 0.5000)
Se (0.0000, 0.5000, 0.0000)
Se (0.5000, 0.0000, 0.0000)

Raw formation energy: 0.705 eV/atom
SG: P4/mmm

=====

Density functional theory data (PBE-GGA) for a relaxed Sr3Cd7Rh4 crystal.

a b c (Å): 4.5039 8.6901 9.2164
angles (deg): 71.48 75.86 74.98
Fractional positions:
Sr (0.3089, 0.1833, 0.1990)
Sr (0.6911, 0.8167, 0.8010)
Sr (0.0000, 0.5000, 0.5000)
Cd (0.3143, 0.8514, 0.5200)
Cd (0.4896, 0.2406, 0.7803)
Cd (0.8384, 0.4033, 0.9199)
Cd (0.6857, 0.1486, 0.4800)
Cd (0.1616, 0.5967, 0.0801)
Cd (0.0000, 0.0000, 0.0000)
Cd (0.5104, 0.7594, 0.2197)
Rh (0.6709, 0.4300, 0.2283)
Rh (0.3291, 0.5700, 0.7717)
Rh (0.8919, 0.8993, 0.3168)
Rh (0.1081, 0.1007, 0.6832)

Calculated formation energy: -0.263 eV per atom
SG: C2/m

=====

Density functional theory data (PBE-GGA) for a relaxed RbBaSr2Cu crystal.

a b c (Å): 6.2299 6.2299 6.7213
angles (deg): 90.00 90.00 90.00
Fractional positions:
Sr (0.0000, 0.5000, 0.0000)
Sr (0.5000, 0.0000, 0.0000)
Cu (0.0000, 0.0000, 0.0000)
Ba (0.5000, 0.5000, 0.5000)
Rb (0.0000, 0.0000, 0.5000)

Calculated formation energy: 0.152 eV per atom
SG: P4/mmm

=====

Density functional theory data (PBE-GGA) for a relaxed CaTlRu crystal.

a b c (Å): 4.7050 4.7050 3.6377
angles (deg): 90.00 90.00 120.00
Fractional positions:
Ru (0.3333, 0.6667, 0.5007)
Tl (0.6667, 0.3333, 0.4994)
Ca (0.0000, 0.0000, 0.9999)

Calculated formation energy: 0.191 eV per atom
SG: P-6m2

=====

Density functional theory data (PBE-GGA) for a relaxed Sc4Fe crystal.

a b c (Å): 6.0328 6.4022 6.5365
angles (deg): 119.32 90.00 90.00
Fractional positions:
Sc (0.1967, 0.5355, 0.7591)
Sc (0.1967, 0.4645, 0.2409)
Sc (0.3033, 0.0355, 0.7591)
Sc (0.8033, 0.2236, 0.7591)
Sc (0.6967, 0.2764, 0.2409)
Sc (0.8033, 0.7764, 0.2409)
Sc (0.6967, 0.7236, 0.7591)
Sc (0.3033, 0.9645, 0.2409)
Fe (0.0000, 0.0000, 0.0000)
Fe (0.5000, 0.5000, 0.0000)

Calculated formation energy: 0.091 eV per atom
SG: Ccce

=====

Density functional theory data (PBE-GGA) for a relaxed Tc2BiH crystal.

a b c (Å): 4.4658 4.4658 4.4658
angles (deg): 60.00 60.00 60.00
Fractional positions:
H (0.0000, 0.0000, 0.0000)
Bi (0.5000, 0.5000, 0.5000)
Tc (0.2500, 0.2500, 0.2500)
Tc (0.7500, 0.7500, 0.7500)

SG: Fm-3m
Total energy: -5.8113 eV per atom

=====

Density functional theory data (PBE-GGA) for a relaxed Rb2NpPdSe4 crystal.

a b c (Å): 6.5266 8.2908 12.6581
angles (deg): 84.18 75.06 66.82
Fractional positions:
Rb (0.1810, 0.0000, 0.6379)
Rb (0.8190, 0.0000, 0.3621)
Rb (0.5690, 0.5000, 0.8621)
Rb (0.9310, 0.5000, 0.1379)
Np (0.7500, 0.5000, 0.5000)
Np (0.0000, 0.0000, 0.0000)
Pd (0.2500, 0.5000, 0.5000)
Pd (0.5000, 0.0000, 0.0000)
Se (0.3314, 0.7806, 0.0918)
Se (0.2038, 0.2194, 0.9082)
Se (0.8880, 0.7806, 0.9082)
Se (0.5768, 0.2194, 0.0918)
Se (0.4186, 0.7194, 0.4082)
Se (0.5462, 0.2806, 0.5918)
Se (0.8620, 0.7194, 0.5918)
Se (0.1732, 0.2806, 0.4082)

Raw formation energy: -0.748 eV/atom
SG: Fddd

=====

Density functional theory data (PBE-GGA) for a relaxed CsHgH crystal.

a b c (Å): 4.2045 4.2045 7.2882
angles (deg): 106.77 106.77 90.00
Fractional positions:
Cs (0.7516, 0.7516, 0.5032)
H (0.2098, 0.2098, 0.4196)
Hg (0.0386, 0.0386, 0.0771)

SG: I4mm
Total energy: -1.5701 eV per atom

=====

Density functional theory data (PBE-GGA) for a relaxed NdHo3Cd6 crystal.

a b c (Å): 5.1977 9.1997 11.1434
angles (deg): 106.32 90.00 90.00
Fractional positions:
Nd (0.2500, 0.9408, 0.6114)
Nd (0.7500, 0.0592, 0.3886)
Ho (0.2500, 0.5284, 0.3927)
Ho (0.7500, 0.4716, 0.6073)
Ho (0.2500, 0.3513, 0.7994)
Ho (0.7500, 0.6487, 0.2006)
Ho (0.2500, 0.7609, 0.0013)
Ho (0.7500, 0.2391, 0.9987)
Cd (0.2500, 0.4520, 0.0966)
Cd (0.7500, 0.5480, 0.9034)
Cd (0.2500, 0.1458, 0.1978)
Cd (0.7500, 0.8542, 0.8022)
Cd (0.2500, 0.6493, 0.7090)
Cd (0.7500, 0.3507, 0.2910)
Cd (0.2500, 0.2510, 0.5060)
Cd (0.7500, 0.7490, 0.4940)
Cd (0.2500, 0.8394, 0.3020)
Cd (0.7500, 0.1606, 0.6980)
Cd (0.2500, 0.0538, 0.9070)
Cd (0.7500, 0.9462, 0.0930)

Calculated formation energy: -0.284 eV per atom
SG: P2_1/m

=====

Density functional theory data (PBE-GGA) for a relaxed Mg2ZrP2 crystal.

a b c (Å): 7.0161 7.0161 3.7432
angles (deg): 90.00 90.00 90.00
Fractional positions:
P (0.3422, 0.8422, 0.0000)
P (0.8422, 0.6578, 0.0000)
P (0.6578, 0.1578, 0.0000)
P (0.1578, 0.3422, 0.0000)
Mg (0.1528, 0.6528, 0.5000)
Mg (0.6528, 0.8472, 0.5000)
Mg (0.8472, 0.3472, 0.5000)
Mg (0.3472, 0.1528, 0.5000)
Zr (0.0000, 0.0000, 0.0000)
Zr (0.5000, 0.5000, 0.0000)

Calculated formation energy: -0.620 eV per atom
SG: P4/mbm

=====

Density functional theory data (PBE-GGA) for a relaxed TcNi2 crystal.

a b c (Å): 3.9626 3.9626 3.9626
angles (deg): 60.00 60.00 60.00
Fractional positions:
Ni (0.7500, 0.7500, 0.7500)
Ni (0.2500, 0.2500, 0.2500)
Tc (0.0000, 0.0000, 0.0000)

Calculated formation energy: 0.723 eV per atom
SG: Fm-3m

=====

Density functional theory data (PBE-GGA) for a relaxed MgCu2SiPb crystal.

a b c (Å): 4.9053 5.4019 4.9053
angles (deg): 90.00 90.00 90.00
Fractional positions:
Pb (0.0000, 0.0000, 0.0000)
Si (0.0000, 0.5000, 0.0000)
Mg (0.5000, 0.5000, 0.5000)
Cu (0.0000, 0.0000, 0.5000)
Cu (0.5000, 0.0000, 0.0000)

Raw formation energy: 0.956 eV/atom
SG: P4/mmm

=====

Density functional theory data (PBE-GGA) for a relaxed Pr5ErGa4 crystal.

a b c (Å): 4.2397 8.3614 8.6870
angles (deg): 78.41 104.12 90.00
Fractional positions:
Pr (0.8265, 0.5730, 0.6529)
Pr (0.8266, 0.1174, 0.6532)
Pr (0.1734, 0.8826, 0.3468)
Pr (0.5000, 0.5000, 0.0000)
Pr (0.1735, 0.4270, 0.3471)
Er (0.5000, 0.0000, 0.0000)
Ga (0.3613, 0.8305, 0.7226)
Ga (0.9700, 0.7737, 0.9400)
Ga (0.6387, 0.1695, 0.2774)
Ga (0.0300, 0.2263, 0.0600)

Calculated formation energy: -0.345 eV per atom
SG: C2/m

=====

Density functional theory data (PBE-GGA) for a relaxed Sc6NiIr5 crystal.

a b c (Å): 4.5864 6.3761 7.2478
angles (deg): 90.00 71.55 90.00
Fractional positions:
Sc (0.8345, 0.7519, 0.3309)
Sc (0.8345, 0.2481, 0.3309)
Sc (0.5000, 0.2472, 0.0000)
Sc (0.5000, 0.7528, 0.0000)
Sc (0.1655, 0.7519, 0.6691)
Sc (0.1655, 0.2481, 0.6691)
Ni (0.0000, 0.0000, 0.0000)
Ir (0.6669, 0.5000, 0.6661)
Ir (0.3340, 0.0000, 0.3320)
Ir (0.0000, 0.5000, 0.0000)
Ir (0.6660, 0.0000, 0.6680)
Ir (0.3331, 0.5000, 0.3339)

Calculated formation energy: -0.945 eV per atom
SG: Cmmm

=====

Density functional theory data (PBE-GGA) for a relaxed CrPBr crystal.

a b c (Å): 7.0994 6.8556 3.2314
angles (deg): 80.86 72.44 26.70
Fractional positions:
Br (0.9607, 0.9607, 0.0393)
Cr (0.3192, 0.3192, 0.6808)
P (0.7201, 0.7201, 0.2799)

Raw formation energy: 0.151 eV/atom
SG: Fmm2

=====

Density functional theory data (PBE-GGA) for a relaxed TlGaHgBi crystal.

a b c (Å): 5.3700 5.3700 5.3700
angles (deg): 60.00 60.00 60.00
Fractional positions:
Tl (0.5000, 0.5000, 0.5000)
Bi (0.0000, 0.0000, 0.0000)
Ga (0.2500, 0.2500, 0.2500)
Hg (0.7500, 0.7500, 0.7500)

Calculated formation energy: 0.044 eV per atom
SG: F-43m

=====

Density functional theory data (PBE-GGA) for a relaxed SnHgAs3 crystal.

a b c (Å): 5.3216 5.3216 5.3216
angles (deg): 90.00 90.00 90.00
Fractional positions:
As (0.0000, 0.5000, 0.0000)
As (0.0000, 0.0000, 0.5000)
As (0.5000, 0.0000, 0.0000)
Hg (0.5000, 0.5000, 0.5000)
Sn (0.0000, 0.0000, 0.0000)

Calculated formation energy: 0.883 eV per atom
SG: Pm-3m

=====

Density functional theory data (PBE-GGA) for a relaxed Ac3Pm6Tm crystal.

a b c (Å): 10.1573 10.1573 7.2787
angles (deg): 45.75 45.75 60.00
Fractional positions:
Ac (0.3499, 0.3499, 0.9504)
Ac (0.6075, 0.6075, 0.1774)
Ac (0.0924, 0.0924, 0.7229)
Pm (0.9275, 0.6016, 0.2187)
Pm (0.2522, 0.9275, 0.2187)
Pm (0.6016, 0.2522, 0.2187)
Pm (0.0986, 0.4479, 0.6810)
Pm (0.7725, 0.0986, 0.6810)
Pm (0.4479, 0.7725, 0.6810)
Tm (0.8499, 0.8499, 0.4502)

Calculated formation energy: 0.356 eV per atom
SG: R-3

=====

Density functional theory data (PBE-GGA) for a relaxed YFe2Rh crystal.

a b c (Å): 4.1606 4.1606 5.3902
angles (deg): 67.34 67.34 60.01
Fractional positions:
Fe (0.0513, 0.0513, 0.8460)
Fe (0.7556, 0.7556, 0.7333)
Rh (0.4443, 0.4443, 0.6672)
Y (0.2487, 0.2487, 0.2535)

Calculated formation energy: -0.085 eV per atom
SG: R3m

=====

Density functional theory data (PBE-GGA) for a relaxed HoTh2Se6 crystal.

a b c (Å): 6.7744 6.7744 13.0459
angles (deg): 90.00 90.00 90.00
Fractional positions:
Ho (0.5000, 0.5000, 0.0000)
Ho (0.0000, 0.0000, 0.5000)
Th (0.5000, 0.5000, 0.3315)
Th (0.5000, 0.5000, 0.6685)
Th (0.0000, 0.0000, 0.1685)
Th (0.0000, 0.0000, 0.8315)
Se (0.6975, 0.6975, 0.1622)
Se (0.6975, 0.6975, 0.8378)
Se (0.6997, 0.6997, 0.5000)
Se (0.8003, 0.1997, 0.0000)
Se (0.8025, 0.1975, 0.3378)
Se (0.8025, 0.1975, 0.6622)
Se (0.1975, 0.8025, 0.3378)
Se (0.1975, 0.8025, 0.6622)
Se (0.1997, 0.8003, 0.0000)
Se (0.3003, 0.3003, 0.5000)
Se (0.3025, 0.3025, 0.1622)
Se (0.3025, 0.3025, 0.8378)

Raw formation energy: -1.504 eV/atom
SG: P4_2/mnm